# 1
! Sr4BrN2Cl, optimized geometry, DFT PBE-GGA; values from VASP
! ΔE_f (raw), meV per atom: -1357
! V, Å³ per cell: 195
&SYSTEM
  ibrav = 0, nat = 8, ntyp = 4
/
ATOMIC_SPECIES
Sr 87.62 Sr.upf
Cl 35.45 Cl.upf
Br 79.90 Br.upf
N 14.01 N.upf
CELL_PARAMETERS angstrom
14.6894 -0.0033 -0.0019
14.1631 3.8967 -0.0019
14.1631 1.9112 3.3959
ATOMIC_POSITIONS crystal
Sr 0.3838 0.3838 0.3838
Sr 0.8877 0.8877 0.8877
Sr 0.1123 0.1123 0.1123
Sr 0.6162 0.6162 0.6162
Cl 0.0000 0.0000 0.0000
Br 0.5000 0.5000 0.5000
N 0.7480 0.7480 0.7480
N 0.2520 0.2520 0.2520



# 2
! SrBrN2Cl, optimized geometry, DFT PBE-GGA; values from VASP
! ΔE_f (raw), meV per atom: 1040
! V, Å³ per cell: 110
&SYSTEM
  ibrav = 0, nat = 5, ntyp = 4
/
ATOMIC_SPECIES
Sr 87.62 Sr.upf
N 14.01 N.upf
Br 79.90 Br.upf
Cl 35.45 Cl.upf
CELL_PARAMETERS angstrom
-1.4117 -1.4862 -3.6997
5.6966 0.2800 -2.2862
0.7215 -3.9552 1.3135
ATOMIC_POSITIONS crystal
Sr 0.5000 0.5000 0.5000
N 0.0000 0.0000 0.5000
N 0.5000 0.0000 0.0000
Br 0.0000 0.5000 0.0000
Cl 0.0000 0.0000 0.0000



# 3
! Sr4BrN2Cl, optimized geometry, DFT PBE-GGA; values from VASP
! ΔE_f (raw), meV per atom: -1353
! V, Å³ per cell: 195
&SYSTEM
  ibrav = 0, nat = 8, ntyp = 4
/
ATOMIC_SPECIES
Sr 87.62 Sr.upf
Br 79.90 Br.upf
N 14.01 N.upf
Cl 35.45 Cl.upf
CELL_PARAMETERS angstrom
-0.6012 3.6632 -1.3077
-0.6312 -2.3746 -6.3617
-7.3552 -1.6032 -1.1094
ATOMIC_POSITIONS crystal
Sr 0.5000 0.7307 0.3138
Sr 0.0000 0.2262 0.3160
Sr 0.5000 0.2693 0.6862
Sr 0.0000 0.7738 0.6840
Br 0.5000 0.5000 0.0000
N 0.0000 0.5000 0.5000
N 0.5000 0.0000 0.5000
Cl 0.0000 0.0000 0.0000



# 4
! TeBr2NCl, optimized geometry, DFT PBE-GGA; values from VASP
! ΔE_f (raw), meV per atom: 758
! V, Å³ per cell: 132
&SYSTEM
  ibrav = 0, nat = 5, ntyp = 4
/
ATOMIC_SPECIES
N 14.01 N.upf
Te 127.60 Te.upf
Br 79.90 Br.upf
Cl 35.45 Cl.upf
CELL_PARAMETERS angstrom
5.7939 0.0000 0.0000
0.0000 5.7939 0.0000
0.0000 0.0000 3.9458
ATOMIC_POSITIONS crystal
N 0.0000 0.0000 0.5000
Te 0.0000 0.0000 0.0000
Br 0.0000 0.5000 0.0000
Br 0.5000 0.0000 0.0000
Cl 0.5000 0.5000 0.5000